# Tm3Cu2Ru

A relaxed Tm3Cu2Ru crystal (PBE-GGA, the Alexandria database).

Structure (CIF):
```
data_Tm3Cu2Ru
_space_group_name_H-M_alt 'P -3 m 1'
_space_group_IT_number 164
_space_group_name_Hall '-P 3 2"'
_cell_length_a 4.7863
_cell_length_b 4.7863
_cell_length_c 5.9373
_cell_angle_alpha 90.00
_cell_angle_beta 90.00
_cell_angle_gamma 120.00
loop_
_atom_site_label
_atom_site_fract_x
_atom_site_fract_y
_atom_site_fract_z
Tm1 0.0000 0.0000 0.0000
Tm2 0.3333 0.6667 0.6611
Cu1 0.3333 0.6667 0.1722
Ru1 0.0000 0.0000 0.5000
```

Results
M_tot: 0.0000 μB/atom
Energy relative to the elements: -2.16 eV/f.u.


# NaSnPt2

A relaxed NaSnPt2 crystal (PBE-GGA, the Alexandria database).

Structure (CIF):
```
data_NaSnPt2
_space_group_name_H-M_alt 'P n m a'
_space_group_IT_number 62
_cell_length_a 14.104
_cell_length_b 4.695
_cell_length_c 4.984
_cell_angle_alpha 90.00
_cell_angle_beta 90.00
_cell_angle_gamma 90.00
loop_
_space_group_symop_operation_xyz
'x,y,z'
'-x,-y,-z'
'-x+1/2,-y,z+1/2'
'x+1/2,y,-z+1/2'
'x+1/2,-y+1/2,-z+1/2'
'-x+1/2,y+1/2,z+1/2'
'-x,y+1/2,-z'
'x,-y+1/2,z'
loop_
_atom_site_label
_atom_site_fract_x
_atom_site_fract_y
_atom_site_fract_z
Na1 0.113 0.250 0.009
Sn1 0.151 0.750 0.509
Pt1 0.044 0.250 0.509
Pt2 0.250 0.250 0.509
```

Results
M_tot: 0.0000 μB/atom
Energy relative to the elements: -1.30 eV/f.u.


# Sr8Rh2Se

A relaxed Sr8Rh2Se crystal (PBE-GGA, the Alexandria database).

Structure (CIF):
```
data_Sr8Rh2Se
_space_group_name_H-M_alt 'P -1'
_space_group_IT_number 2
_cell_length_a 7.828
_cell_length_b 7.940
_cell_length_c 8.527
_cell_angle_alpha 63.13
_cell_angle_beta 89.57
_cell_angle_gamma 88.99
loop_
_space_group_symop_operation_xyz
'x,y,z'
'-x,-y,-z'
loop_
_atom_site_label
_atom_site_fract_x
_atom_site_fract_y
_atom_site_fract_z
Sr1 0.130 0.388 0.213
Sr2 0.212 0.848 0.270
Sr3 0.251 0.261 0.798
Sr4 0.359 0.793 0.789
Rh1 0.047 0.850 0.952
Se1 0.000 0.500 0.500
```

Results
M_tot: 0.0000 μB/atom
ΔE_f (raw): -0.42 eV/atom


# ZrCr2Cl

A relaxed ZrCr2Cl crystal (PBE-GGA, the Alexandria database).

Structure (CIF):
```
data_ZrCr2Cl
_space_group_name_H-M_alt 'I -4 2 d'
_space_group_IT_number 122
_space_group_name_Hall 'I -4 2bw'
_cell_length_a 7.334
_cell_length_b 7.334
_cell_length_c 5.334
_cell_angle_alpha 90.00
_cell_angle_beta 90.00
_cell_angle_gamma 90.00
loop_
_atom_site_label
_atom_site_fract_x
_atom_site_fract_y
_atom_site_fract_z
Zr1 0.000 0.000 0.000
Cr1 0.194 0.250 0.625
Cl1 0.000 0.000 0.500
```

Results
M_tot: 1.6884 μB/atom
ΔE_f (raw): 0.53 eV/atom
ΔE to the lowest computed polymorph: 643 meV per atom


# Mg2TaAu

A relaxed Mg2TaAu crystal (PBE-GGA, the Alexandria database).

Structure (CIF):
```
data_Mg2TaAu
_space_group_name_H-M_alt 'F m -3 m'
_space_group_IT_number 225
_space_group_name_Hall '-F 4 2 3'
_cell_length_a 6.645
_cell_length_b 6.645
_cell_length_c 6.645
_cell_angle_alpha 90.00
_cell_angle_beta 90.00
_cell_angle_gamma 90.00
loop_
_atom_site_label
_atom_site_fract_x
_atom_site_fract_y
_atom_site_fract_z
Mg1 0.250 0.250 0.250
Ta1 0.000 0.000 0.000
Au1 0.000 0.000 0.500
```

Results
M_tot: 0.4747 μB/atom
Energy relative to the elements: 1.19 eV/f.u.
ΔE to the lowest computed polymorph: 398 meV per atom


# Pr4Sm3Dy4

A relaxed Pr4Sm3Dy4 crystal (PBE-GGA, the Alexandria database).

Structure (CIF):
```
data_Pr4Sm3Dy4
_space_group_name_H-M_alt 'I m m m'
_space_group_IT_number 71
_space_group_name_Hall '-I 2 2'
_cell_length_a 3.621
_cell_length_b 9.545
_cell_length_c 22.169
_cell_angle_alpha 90.00
_cell_angle_beta 90.00
_cell_angle_gamma 90.00
loop_
_atom_site_label
_atom_site_fract_x
_atom_site_fract_y
_atom_site_fract_z
Pr1 0.000 0.178 0.146
Sm1 0.000 0.000 0.393
Sm2 0.000 0.500 0.500
Dy1 0.000 0.317 0.000
Dy2 0.000 0.500 0.240
```

Results
M_tot: 0.0000 μB/atom
Energy relative to the elements: 1.39 eV/f.u.
ΔE to the lowest computed polymorph: 0 meV per atom


# Dy4Tm3Al4

A relaxed Dy4Tm3Al4 crystal (PBE-GGA, the Alexandria database).

Structure (CIF):
```
data_Dy4Tm3Al4
_space_group_name_H-M_alt 'I m m m'
_space_group_IT_number 71
_space_group_name_Hall '-I 2 2'
_cell_length_a 5.107
_cell_length_b 6.635
_cell_length_c 17.012
_cell_angle_alpha 90.00
_cell_angle_beta 90.00
_cell_angle_gamma 90.00
loop_
_atom_site_label
_atom_site_fract_x
_atom_site_fract_y
_atom_site_fract_z
Dy1 0.000 0.238 0.180
Tm1 0.000 0.000 0.403
Tm2 0.000 0.500 0.500
Al1 0.000 0.293 0.000
Al2 0.000 0.500 0.330
```

Results
M_tot: 0.0000 μB/atom
Energy relative to the elements: -1.80 eV/f.u.


# AcNd2Si4

A relaxed AcNd2Si4 crystal (PBE-GGA, the Alexandria database).

Structure (CIF):
```
data_AcNd2Si4
_space_group_name_H-M_alt 'I m m m'
_space_group_IT_number 71
_space_group_name_Hall '-I 2 2'
_cell_length_a 4.001
_cell_length_b 4.610
_cell_length_c 18.016
_cell_angle_alpha 90.00
_cell_angle_beta 90.00
_cell_angle_gamma 90.00
loop_
_atom_site_label
_atom_site_fract_x
_atom_site_fract_y
_atom_site_fract_z
Ac1 0.000 0.000 0.000
Nd1 0.000 0.500 0.318
Si1 0.000 0.000 0.432
Si2 0.000 0.500 0.147
```

Results
M_tot: 0.0000 μB/atom
ΔE_f (raw): -0.70 eV/atom


# Ac5CdGe4

A relaxed Ac5CdGe4 crystal (PBE-GGA, the Alexandria database).

Structure (CIF):
```
data_Ac5CdGe4
_space_group_name_H-M_alt 'P 4/m m m'
_space_group_IT_number 123
_space_group_name_Hall '-P 4 2'
_cell_length_a 4.004
_cell_length_b 4.004
_cell_length_c 19.049
_cell_angle_alpha 90.00
_cell_angle_beta 90.00
_cell_angle_gamma 90.00
loop_
_atom_site_label
_atom_site_fract_x
_atom_site_fract_y
_atom_site_fract_z
Ac1 0.000 0.000 0.000
Ac2 0.000 0.000 0.195
Ac3 0.000 0.000 0.387
Cd1 0.500 0.500 0.500
Ge1 0.500 0.500 0.098
Ge2 0.500 0.500 0.297
```

Results
M_tot: 0.0000 μB/atom
Energy relative to the elements: -4.95 eV/f.u.


# IrRhSeBr2

A relaxed IrRhSeBr2 crystal (PBE-GGA, the Alexandria database).

Structure (CIF):
```
data_IrRhSeBr2
_space_group_name_H-M_alt 'P 4/m m m'
_space_group_IT_number 123
_space_group_name_Hall '-P 4 2'
_cell_length_a 5.267
_cell_length_b 5.267
_cell_length_c 4.635
_cell_angle_alpha 90.00
_cell_angle_beta 90.00
_cell_angle_gamma 90.00
loop_
_atom_site_label
_atom_site_fract_x
_atom_site_fract_y
_atom_site_fract_z
Ir1 0.000 0.000 0.000
Rh1 0.500 0.500 0.500
Se1 0.000 0.000 0.500
Br1 0.000 0.500 0.000
```

Results
M_tot: 0.3676 μB/atom
ΔE_f (raw): 0.89 eV/atom
ΔE to the lowest computed polymorph: 0 meV per atom


# MgGa2ReO

A relaxed MgGa2ReO crystal (PBE-GGA, the Alexandria database).

Structure (CIF):
```
data_MgGa2ReO
_space_group_name_H-M_alt 'P 4/m m m'
_space_group_IT_number 123
_space_group_name_Hall '-P 4 2'
_cell_length_a 4.908
_cell_length_b 4.908
_cell_length_c 4.898
_cell_angle_alpha 90.00
_cell_angle_beta 90.00
_cell_angle_gamma 90.00
loop_
_atom_site_label
_atom_site_fract_x
_atom_site_fract_y
_atom_site_fract_z
Mg1 0.000 0.000 0.000
Ga1 0.000 0.500 0.000
Re1 0.000 0.000 0.500
O1 0.500 0.500 0.500
```

Results
M_tot: 0.5652 μB/atom
ΔE_f (raw): 1.78 eV/atom


# Sr2Cd2Hg

A relaxed Sr2Cd2Hg crystal (PBE-GGA, the Alexandria database).

Structure (CIF):
```
data_Sr2Cd2Hg
_space_group_name_H-M_alt 'A m m 2'
_space_group_IT_number 38
_cell_length_a 4.169
_cell_length_b 4.833
_cell_length_c 15.790
_cell_angle_alpha 90.00
_cell_angle_beta 90.00
_cell_angle_gamma 90.00
loop_
_space_group_symop_operation_xyz
'x,y,z'
'-x,-y,z'
'-x,y,z'
'x,-y,z'
'x,y+1/2,z+1/2'
'-x,-y+1/2,z+1/2'
'-x,y+1/2,z+1/2'
'x,-y+1/2,z+1/2'
loop_
_atom_site_label
_atom_site_fract_x
_atom_site_fract_y
_atom_site_fract_z
Sr1 0.000 0.000 0.000
Sr2 0.000 0.000 0.245
Cd1 0.500 0.000 0.624
Cd2 0.500 0.000 0.818
Hg1 0.500 0.000 0.427
```

Results
M_tot: 0.0000 μB/atom
Energy relative to the elements: -1.84 eV/f.u.
ΔE to the lowest computed polymorph: 4 meV per atom